No. 1
The following is a PBE calculation of a relaxed NaTlAg2Cl5 crystal, from Alexandria.

Computed properties:
Magnetization in μB per cell: 0.0
Crystal system: tetragonal
Total DFT energy (no corrections) in eV per atom: -2.91

Cell lengths 4.989, 4.989, 9.772 Å; angles 90.00, 90.00, 90.00 degrees
Fractional positions:
Na  0.000  0.000  0.000
Tl  0.000  0.000  0.500
Ag  0.500  0.500  0.219
Ag  0.500  0.500  0.781
Cl  0.000  0.500  0.184
Cl  0.000  0.500  0.816
Cl  0.500  0.000  0.184
Cl  0.500  0.000  0.816
Cl  0.500  0.500  0.500



No. 2
The following is a PBE calculation of a relaxed NaTlAgCl4 crystal, from Alexandria.

Computed properties:
Magnetization in μB per cell: 0.0
Crystal system: monoclinic
Total DFT energy (no corrections) in eV per atom: -2.88

Cell lengths 7.329, 7.435, 7.794 Å; angles 90.00, 104.62, 90.00 degrees
Fractional positions:
Na  0.170  0.250  0.038
Na  0.830  0.750  0.962
Tl  0.219  0.250  0.552
Tl  0.781  0.750  0.448
Ag  0.280  0.750  0.830
Ag  0.720  0.250  0.170
Cl  0.017  0.506  0.755
Cl  0.017  0.994  0.755
Cl  0.472  0.250  0.339
Cl  0.476  0.250  0.885
Cl  0.524  0.750  0.115
Cl  0.528  0.750  0.661
Cl  0.983  0.006  0.245
Cl  0.983  0.494  0.245



No. 3
The following is a PBE calculation of a relaxed Na2TlAgCl6 crystal, from Alexandria.

Computed properties:
Magnetization in μB per cell: 0.0
Crystal system: triclinic
Total DFT energy (no corrections) in eV per atom: -2.98

Cell lengths 6.974, 6.981, 7.389 Å; angles 90.09, 118.08, 119.94 degrees
Fractional positions:
Na  0.000  0.000  0.000
Na  0.011  0.506  0.516
Tl  0.611  0.306  0.916
Ag  0.595  0.798  0.393
Cl  0.101  0.414  0.189
Cl  0.121  0.187  0.692
Cl  0.502  0.089  0.189
Cl  0.506  0.934  0.691
Cl  0.758  0.571  0.692
Cl  0.775  0.688  0.190



No. 4
The following is a PBE calculation of a relaxed NaTl3Ag2Cl6 crystal, from Alexandria.

Computed properties:
Magnetization in μB per cell: 0.0
Crystal system: monoclinic
Total DFT energy (no corrections) in eV per atom: -3.03

Cell lengths 7.279, 7.279, 7.572 Å; angles 99.60, 99.60, 119.31 degrees
Fractional positions:
Na  0.000  0.000  0.000
Tl  0.166  0.834  0.500
Tl  0.500  0.500  0.500
Tl  0.834  0.166  0.500
Ag  0.333  0.667  0.000
Ag  0.667  0.333  0.000
Cl  0.065  0.404  0.211
Cl  0.271  0.271  0.795
Cl  0.404  0.065  0.211
Cl  0.596  0.935  0.789
Cl  0.729  0.729  0.205
Cl  0.935  0.596  0.789



No. 5
The following is a PBE calculation of a relaxed Na3Tl4AgCl8 crystal, from Alexandria.

Computed properties:
Magnetization in μB per cell: 0.0
Crystal system: monoclinic
Total DFT energy (no corrections) in eV per atom: -3.16

Cell lengths 8.460, 8.460, 8.725 Å; angles 119.02, 119.02, 59.94 degrees
Fractional positions:
Na  0.000  0.000  0.000
Na  0.000  0.500  0.000
Na  0.500  0.000  0.000
Tl  0.000  0.000  0.500
Tl  0.000  0.500  0.500
Tl  0.500  0.000  0.500
Tl  0.500  0.500  0.500
Ag  0.500  0.500  0.000
Cl  0.237  0.237  0.212
Cl  0.239  0.736  0.211
Cl  0.263  0.263  0.789
Cl  0.264  0.761  0.789
Cl  0.736  0.239  0.211
Cl  0.737  0.737  0.211
Cl  0.761  0.264  0.789
Cl  0.763  0.763  0.788



No. 6
The following is a PBE calculation of a relaxed NaTl4Ag3Cl8 crystal, from Alexandria.

Computed properties:
Magnetization in μB per cell: 0.0
Crystal system: monoclinic
Total DFT energy (no corrections) in eV per atom: -3.00

Cell lengths 8.444, 8.444, 8.629 Å; angles 119.33, 119.33, 59.59 degrees
Fractional positions:
Na  0.000  0.000  0.000
Tl  0.000  0.000  0.500
Tl  0.000  0.500  0.500
Tl  0.500  0.000  0.500
Tl  0.500  0.500  0.500
Ag  0.000  0.500  0.000
Ag  0.500  0.000  0.000
Ag  0.500  0.500  0.000
Cl  0.237  0.237  0.208
Cl  0.239  0.735  0.209
Cl  0.264  0.264  0.795
Cl  0.265  0.761  0.791
Cl  0.735  0.239  0.209
Cl  0.736  0.736  0.205
Cl  0.761  0.265  0.791
Cl  0.763  0.763  0.792



No. 7
The following is a PBE calculation of a relaxed Na3TlAg2Cl6 crystal, from Alexandria.

Computed properties:
Magnetization in μB per cell: 0.0
Crystal system: monoclinic
Total DFT energy (no corrections) in eV per atom: -3.11

Cell lengths 9.767, 9.767, 8.141 Å; angles 104.47, 104.47, 23.87 degrees
Fractional positions:
Na  0.000  0.000  0.000
Na  0.330  0.330  0.680
Na  0.670  0.670  0.320
Tl  0.000  0.000  0.500
Ag  0.316  0.316  0.165
Ag  0.684  0.684  0.835
Cl  0.164  0.164  0.052
Cl  0.179  0.179  0.597
Cl  0.477  0.477  0.767
Cl  0.523  0.523  0.233
Cl  0.821  0.821  0.403
Cl  0.836  0.836  0.948



No. 8
The following is a PBE calculation of a relaxed NaTmAgCl5 crystal, from Alexandria.

Computed properties:
Magnetization in μB per cell: 0.0
Crystal system: monoclinic
Total DFT energy (no corrections) in eV per atom: -3.92

Cell lengths 7.612, 7.612, 9.717 Å; angles 99.90, 99.90, 118.56 degrees
Fractional positions:
Na  0.073  0.927  0.750
Na  0.927  0.073  0.250
Tm  0.500  0.500  0.000
Tm  0.500  0.500  0.500
Ag  0.215  0.785  0.250
Ag  0.785  0.215  0.750
Cl  0.096  0.257  0.953
Cl  0.167  0.496  0.373
Cl  0.257  0.096  0.453
Cl  0.422  0.578  0.750
Cl  0.496  0.167  0.873
Cl  0.504  0.833  0.127
Cl  0.578  0.422  0.250
Cl  0.743  0.904  0.547
Cl  0.833  0.504  0.627
Cl  0.904  0.743  0.047



No. 9
The following is a PBE calculation of a relaxed NaTmAgCl6 crystal, from Alexandria.

Computed properties:
Magnetization in μB per cell: 1.1
Crystal system: trigonal
Total DFT energy (no corrections) in eV per atom: -3.68

Cell lengths 6.705, 6.705, 6.309 Å; angles 90.00, 90.00, 120.00 degrees
Fractional positions:
Na  0.000  0.000  0.000
Tm  0.667  0.333  0.500
Ag  0.333  0.667  0.500
Cl  0.357  0.004  0.263
Cl  0.357  0.354  0.737
Cl  0.646  0.004  0.737
Cl  0.646  0.643  0.263
Cl  0.996  0.354  0.263
Cl  0.996  0.643  0.737



No. 10
The following is a PBE calculation of a relaxed NaTmAg2Cl6 crystal, from Alexandria.

Computed properties:
Magnetization in μB per cell: 0.0
Crystal system: trigonal
Total DFT energy (no corrections) in eV per atom: -3.71

Cell lengths 7.423, 7.423, 7.423 Å; angles 55.40, 55.40, 55.40 degrees
Fractional positions:
Na  0.000  0.000  0.000
Tm  0.495  0.495  0.495
Ag  0.296  0.296  0.296
Ag  0.801  0.801  0.801
Cl  0.111  0.710  0.405
Cl  0.240  0.592  0.879
Cl  0.405  0.111  0.710
Cl  0.592  0.879  0.240
Cl  0.710  0.405  0.111
Cl  0.879  0.240  0.592